No. 1
A plane-wave DFT calculation with PBE was carried out for Tb5Hg2Pt after structural relaxation.

Computed properties:
**E**: -4.305 eV per atom
**Total moment**: 0.00 μB per formula unit
**Theoretical density**: 10721 kg/m³
**Energy above the most stable polymorph in this dataset**: 0.000 eV per formula unit
**Formation enthalpy at 0 K**: -0.58 eV/atom
**DOS at the Fermi energy**: 0.8133 states/eV per atom

Geometry as CIF:
```
data_Tb5Hg2Pt
_chemical_formula_sum 'Tb10 Hg4 Pt2'
_cell_length_a 4.927
_cell_length_b 7.056
_cell_length_c 12.394
_cell_angle_alpha 90.00
_cell_angle_beta 90.00
_cell_angle_gamma 90.00
_symmetry_space_group_name_H-M 'P 1'
_symmetry_Int_Tables_number 1
_symmetry_space_group_name_Hall 'P 1'
loop_
_atom_site_label
_atom_site_type_symbol
_atom_site_fract_x
_atom_site_fract_y
_atom_site_fract_z
Tb1 Tb 0.500 0.826 0.913
Tb2 Tb 0.500 0.174 0.087
Tb3 Tb 0.500 0.674 0.413
Tb4 Tb 0.000 0.000 0.500
Tb5 Tb 0.000 0.143 0.789
Tb6 Tb 0.500 0.326 0.587
Tb7 Tb 0.000 0.643 0.711
Tb8 Tb 0.000 0.500 0.000
Tb9 Tb 0.000 0.357 0.289
Tb10 Tb 0.000 0.857 0.211
Hg1 Hg 0.500 0.085 0.337
Hg2 Hg 0.500 0.415 0.837
Hg3 Hg 0.500 0.585 0.163
Hg4 Hg 0.500 0.915 0.663
Pt1 Pt 0.000 0.500 0.500
Pt2 Pt 0.000 0.000 0.000
```


No. 2
A plane-wave DFT calculation with PBE was carried out for CeEuSc after structural relaxation.

Computed properties:
**E**: -7.347 eV per atom
**Total moment**: 6.72 μB per formula unit
**Theoretical density**: 6180 kg/m³
**Energy above the most stable polymorph in this dataset**: 0.000 eV per formula unit
**Formation enthalpy at 0 K**: 0.17 eV/atom
**DOS at the Fermi energy**: 2.2700 states/eV per atom

Geometry as CIF:
```
data_CeEuSc
_chemical_formula_sum 'Ce1 Eu1 Sc1'
_cell_length_a 3.476
_cell_length_b 3.476
_cell_length_c 8.655
_cell_angle_alpha 90.00
_cell_angle_beta 90.00
_cell_angle_gamma 120.00
_symmetry_space_group_name_H-M 'P 1'
_symmetry_Int_Tables_number 1
_symmetry_space_group_name_Hall 'P 1'
loop_
_atom_site_label
_atom_site_type_symbol
_atom_site_fract_x
_atom_site_fract_y
_atom_site_fract_z
Ce1 Ce 0.333 0.667 0.648
Eu1 Eu 0.000 0.000 0.006
Sc1 Sc 0.667 0.333 0.345
```